# 1
The following is a PBE calculation of an optimized crystal structure of Zr2MnSi, from Alexandria. Values from VASP.

```
&SYSTEM
  ibrav = 0, nat = 4, ntyp = 3
/
ATOMIC_SPECIES
Mn 54.94 Mn.upf
Si 28.09 Si.upf
Zr 91.22 Zr.upf
ATOMIC_POSITIONS crystal
Mn 0.5000 0.5000 0.2500
Si 0.5000 0.5000 0.7500
Zr 0.0000 0.0000 0.9996
Zr 0.0000 0.0000 0.5004
CELL_PARAMETERS angstrom
-0.0828 2.2205 2.4781
-3.4668 -0.2829 0.1377
0.5223 -4.4496 4.0045
```

Output
* total DFT energy (no corrections): -8.2202 eV/atom
* formation energy without anion corrections: -1.19 eV/f.u.

# 2
The following is a PBE calculation of an optimized crystal structure of Zr2MnSi, from Alexandria. Values from VASP.

```
&SYSTEM
  ibrav = 0, nat = 8, ntyp = 3
/
ATOMIC_SPECIES
Si 28.09 Si.upf
Mn 54.94 Mn.upf
Zr 91.22 Zr.upf
ATOMIC_POSITIONS crystal
Si 0.5000 0.5000 0.0000
Si 0.2500 0.7500 0.5000
Mn 0.0000 0.0000 0.0000
Mn 0.7500 0.2500 0.5000
Zr 0.6194 0.1250 0.2500
Zr 0.1306 0.6250 0.2500
Zr 0.3750 0.3806 0.7500
Zr 0.8750 0.8694 0.7500
CELL_PARAMETERS angstrom
7.4024 0.0000 0.0000
0.0000 7.4024 0.0000
3.7012 3.7012 2.8093
```

Output
* total DFT energy (no corrections): -7.8019 eV/atom
* formation energy without anion corrections: 0.48 eV/f.u.

# 3
The following is a PBE calculation of an optimized crystal structure of Zr2MnSi, from Alexandria. Values from VASP.

```
&SYSTEM
  ibrav = 0, nat = 4, ntyp = 3
/
ATOMIC_SPECIES
Mn 54.94 Mn.upf
Si 28.09 Si.upf
Zr 91.22 Zr.upf
ATOMIC_POSITIONS crystal
Mn 0.5120 0.5120 0.0000
Si 0.7029 0.2029 0.5000
Zr 0.0044 0.0044 0.0000
Zr 0.2807 0.7807 0.5000
CELL_PARAMETERS angstrom
-1.1360 2.9245 4.6068
-0.6468 -2.5341 4.9219
3.3483 0.9569 -4.3519
```

Output
* total DFT energy (no corrections): -8.2082 eV/atom
* formation energy without anion corrections: -1.14 eV/f.u.